Density functional theory data (PBE with a Hubbard U) for a relaxed TeMoF3 crystal.

## Properties
The value obtained for the total magnetization is 5.15 μB per formula unit. The calculation puts the energy above the most stable polymorph in this dataset at 0.720 eV per atom. For the total energy, the calculation gives -3.842 eV per atom. Its volume is 102.2 Å³ per cell.

abc: 4.6748 4.6748 4.6748
angles: 90.00 90.00 90.00
Fractional positions:
Te 0.0000 0.0000 0.0000
Mo 0.5000 0.5000 0.5000
F 0.0000 0.0000 0.5000
F 0.0000 0.5000 0.0000
F 0.5000 0.0000 0.0000

Density functional theory data (PBE with a Hubbard U) for a relaxed TeMoF3 crystal.

## Properties
The value obtained for the total magnetization is 1.00 μB per formula unit. The calculation puts the energy above the most stable polymorph in this dataset at 0.000 eV per atom. For the total energy, the calculation gives -4.563 eV per atom. Its volume is 84.6 Å³ per cell.

abc: 4.3907 4.3907 4.3907
angles: 90.00 90.00 90.00
Fractional positions:
Te 0.0000 0.0000 0.0000
Mo 0.5000 0.5000 0.5000
F 0.0000 0.5000 0.5000
F 0.5000 0.0000 0.5000
F 0.5000 0.5000 0.0000

Density functional theory data (PBE with a Hubbard U) for a relaxed Te2MoF crystal.

## Properties
The value obtained for the total magnetization is 2.88 μB per formula unit. The calculation puts the energy above the most stable polymorph in this dataset at 0.000 eV per atom. For the total energy, the calculation gives -4.196 eV per atom. Its volume is 119.3 Å³ per cell.

abc: 7.7789 7.7789 7.7789
angles: 32.28 32.28 32.28
Fractional positions:
Te 0.1035 0.1035 0.1035
Te 0.8965 0.8965 0.8965
Mo 0.5000 0.5000 0.5000
F 0.0000 0.0000 0.0000